# 1
PrBePt2 | GGA-PBE | optimized geometry

Geometry as POSCAR:
```
PrBePt2
1.0
5.459 0.000 0.000
2.728 4.785 0.000
1.777 1.831 5.504
Pr Be Pt
2 2 4
Direct
0.231 0.393 0.241
0.769 0.607 0.759
0.222 0.009 0.992
0.778 0.991 0.008
0.144 0.894 0.706
0.459 0.282 0.715
0.541 0.718 0.285
0.856 0.106 0.294
```

Output
- space-group type = P-1
- M_tot (μB per cell) = 0.0
- ΔH_f (0 K) (meV per atom) = -897
- crystal system = triclinic

# 2
Ta4CdAg | GGA-PBE | optimized geometry

Geometry as POSCAR:
```
Ta4CdAg
1.0
0.000 3.897 3.897
3.897 0.000 3.897
3.897 3.897 0.000
Ta Cd Ag
4 1 1
Direct
0.376 0.376 0.376
0.376 0.376 0.873
0.376 0.873 0.376
0.873 0.376 0.376
0.750 0.750 0.750
0.000 0.000 0.000
```

Output
- space-group type = F-43m
- M_tot (μB per cell) = 0.0
- ΔH_f (0 K) (meV per atom) = 534
- crystal system = cubic

Which value of M_tot does entry 1 give? 0.0 μB per cell